5
Lattice="5.038 0.000 0.000 0.000 5.038 0.000 0.000 0.000 4.709" Properties=species:S:1:pos:R:3 comment="NaCa2TlH (GGA-PBE, relaxed)" energy_ev_per_atom=-2.503 magnetic_moment_mub_per_fu=0.00 relative_energy_ev_per_fu=0.00 pbc="T T T"
Na 0.000 0.000 0.000
Ca 0.000 2.519 2.354
Ca 2.519 0.000 2.354
Tl 2.519 2.519 0.000
H 0.000 0.000 2.354

***

5
Lattice="4.792 0.000 0.000 0.000 4.792 0.000 0.000 0.000 4.276" Properties=species:S:1:pos:R:3 comment="ScBIr2Se (GGA-PBE, relaxed)" energy_ev_per_atom=-5.177 magnetic_moment_mub_per_fu=0.00 pbc="T T T"
Sc 0.000 0.000 0.000
B 0.000 0.000 2.138
Ir 0.000 2.396 0.000
Ir 2.396 0.000 0.000
Se 2.396 2.396 2.138

***

14
Lattice="4.391 -6.469 0.000 4.391 6.469 0.000 -4.343 0.000 6.451" Properties=species:S:1:pos:R:3 comment="La4PdRu2 (GGA-PBE, relaxed)" energy_ev_per_atom=-6.608 formation_energy_ev_per_atom=-0.40 magnetic_moment_mub_per_fu=0.00 pbc="T T T"
La 2.220 6.434 3.225
La -1.302 2.450 5.613
La 2.274 3.198 4.895
La 0.870 -2.450 2.387
La 3.064 0.770 2.395
La 0.893 -0.770 5.620
La 4.446 -3.198 1.669
La 4.391 -6.434 0.000
Pd 5.928 1.591 0.848
Pd 3.756 -1.591 4.074
Ru 2.636 4.249 1.379
Ru 0.487 0.954 3.297
Ru 2.658 -0.954 0.072
Ru 0.464 -4.249 4.605

***

12
Lattice="3.468 -5.954 0.000 3.468 5.954 0.000 -2.271 0.000 6.672" Properties=species:S:1:pos:R:3 comment="TbPm2Th3S6 (GGA-PBE, relaxed)" energy_ev_per_atom=-7.014 magnetic_moment_mub_per_fu=0.00 pbc="T T T"
Tb 0.000 0.000 0.000
Pm 3.468 1.980 0.000
Pm 3.468 -1.980 0.000
Th 2.333 3.933 3.336
Th 2.333 0.000 3.336
Th 2.333 -3.933 3.336
S 1.144 1.950 1.612
S -0.011 0.000 5.030
S 1.144 -1.950 1.612
S 3.521 1.950 5.059
S 4.677 0.000 1.641
S 3.521 -1.950 5.059